VASP calculation (PBE) on an optimized crystal structure of Ti2NiRh.

Results
- density of states at the Fermi level (states/eV per cell) = 5.34
- total energy (eV/atom) = -7.78
- formation enthalpy at 0 K (eV/atom) = -0.55

Cell: 3.0703 3.0703 6.0895 Å, 90.00 90.00 90.00°
Closest atoms and distances in Å follow each position.
Sites, in units of the cell vectors:
Ni 0.5000 0.5000 0.0000  8 Ti 2.62
Ti 0.0000 0.0000 0.2399  4 Ni 2.62, 4 Rh 2.69, 1 Ti 2.92
Ti 0.0000 0.0000 0.7601  4 Ni 2.62, 4 Rh 2.69, 1 Ti 2.92
Rh 0.5000 0.5000 0.5000  8 Ti 2.69

VASP calculation (PBE) on an optimized crystal structure of Ti2Ni2Rh.

Results
- density of states at the Fermi level (states/eV per cell) = 5.20
- total energy (eV/atom) = -7.25
- formation enthalpy at 0 K (eV/atom) = -0.31

Cell: 6.8505 6.8505 2.9943 Å, 90.00 90.00 90.00°
Closest atoms and distances in Å follow each position.
Sites, in units of the cell vectors:
Ni 0.8679 0.3679 0.5000  6 Ti 2.50-2.52, 1 Ni 2.56
Ni 0.6321 0.8679 0.5000  6 Ti 2.50-2.52, 1 Ni 2.56
Ni 0.1321 0.6321 0.5000  6 Ti 2.50-2.52, 1 Ni 2.56
Ni 0.3679 0.1321 0.5000  6 Ti 2.50-2.52, 1 Ni 2.56
Ti 0.6615 0.1615 0.0000  6 Ni 2.50-2.52, 2 Rh 2.57
Ti 0.3385 0.8385 0.0000  6 Ni 2.50-2.52, 2 Rh 2.57
Ti 0.8385 0.6615 0.0000  6 Ni 2.50-2.52, 2 Rh 2.57
Ti 0.1615 0.3385 0.0000  6 Ni 2.50-2.52, 2 Rh 2.57
Rh 0.0000 0.0000 0.0000  4 Ti 2.57
Rh 0.5000 0.5000 0.0000  4 Ti 2.57

VASP calculation (PBE) on an optimized crystal structure of Ti2Ni4Rh.

Results
- density of states at the Fermi level (states/eV per cell) = 5.19
- total energy (eV/atom) = -6.90
- formation enthalpy at 0 K (eV/atom) = -0.29

Cell: 3.2773 3.2773 8.8925 Å, 100.62 100.62 90.00°
Closest atoms and distances in Å follow each position.
Sites, in units of the cell vectors:
Ni 0.7500 0.2500 0.5000  8 Ni 2.32-2.40
Ni 0.8519 0.8519 0.7039  4 Ni 2.40, 4 Ti 2.50, 1 Rh 2.54
Ni 0.2500 0.7500 0.5000  8 Ni 2.32-2.40
Ni 0.1481 0.1481 0.2961  4 Ni 2.40, 4 Ti 2.50, 1 Rh 2.54
Ti 0.5942 0.5942 0.1883  4 Ni 2.50
Ti 0.4058 0.4058 0.8117  4 Ni 2.50
Rh 0.0000 0.0000 0.0000  2 Ni 2.54, 8 Ti 2.83

VASP calculation (PBE) on an optimized crystal structure of Ti4Ni3Rh.

Results
- density of states at the Fermi level (states/eV per cell) = 9.03
- total energy (eV/atom) = -7.49
- formation enthalpy at 0 K (eV/atom) = -0.46

Cell: 4.2880 4.2880 7.4587 Å, 73.29 73.29 60.00°
Closest atoms and distances in Å follow each position.
Sites, in units of the cell vectors:
Ni 0.2560 0.2560 0.2321  8 Ti 2.56-2.70
Ni 0.7440 0.7440 0.7679  8 Ti 2.56-2.70
Ni 0.5000 0.5000 0.5000  8 Ti 2.55-2.60
Ti 0.1288 0.1288 0.6135  7 Ni 2.60-2.70, 1 Rh 2.72
Ti 0.6207 0.6207 0.1379  5 Ni 2.55-2.60, 3 Rh 2.66
Ti 0.3793 0.3793 0.8621  5 Ni 2.55-2.60, 3 Rh 2.66
Ti 0.8712 0.8712 0.3865  7 Ni 2.60-2.70, 1 Rh 2.72
Rh 0.0000 0.0000 0.0000  8 Ti 2.66-2.72, 6 Ni 2.97

VASP calculation (PBE) on an optimized crystal structure of Ti2Ni3Rh.

Results
- density of states at the Fermi level (states/eV per cell) = 20.92
- total energy (eV/atom) = -6.99
- formation enthalpy at 0 K (eV/atom) = -0.24

Cell: 8.0708 8.0708 7.7068 Å, 121.58 121.58 90.00°
Closest atoms and distances in Å follow each position.
Sites, in units of the cell vectors:
Rh 0.5641 0.0641 0.1281  4 Ti 2.56-2.61, 2 Ni 2.81
Rh 0.3141 0.3141 0.6281  4 Ti 2.56-2.61, 2 Ni 2.81
Rh 0.9359 0.4359 0.8719  4 Ti 2.56-2.61, 2 Ni 2.81
Rh 0.6859 0.6859 0.3719  4 Ti 2.56-2.61, 2 Ni 2.81
Ni 0.5208 0.4792 0.5000  4 Ti 2.45-2.55, 4 Ni 2.55-2.61
Ni 0.7292 0.2708 0.0000  4 Ti 2.45-2.55, 4 Ni 2.55-2.61
Ni 0.1250 0.8750 0.2500  6 Ti 2.48-2.53, 4 Ni 2.55
Ni 0.6250 0.8750 0.7500  6 Ti 2.48-2.53, 4 Ni 2.55
Ni 0.2708 0.7292 0.0000  4 Ti 2.45-2.55, 4 Ni 2.55-2.61
Ni 0.5208 0.0208 0.5000  4 Ti 2.45-2.55, 4 Ni 2.55-2.61
Ni 0.1250 0.3750 0.2500  6 Ti 2.48-2.53, 4 Ni 2.55
Ni 0.2708 0.2708 0.0000  4 Ti 2.45-2.55, 4 Ni 2.55-2.61
Ni 0.9792 0.4792 0.5000  4 Ti 2.45-2.55, 4 Ni 2.55-2.61
Ni 0.9792 0.0208 0.5000  4 Ti 2.45-2.55, 4 Ni 2.55-2.61
Ni 0.1250 0.8750 0.7500  6 Ti 2.48-2.53, 4 Ni 2.55
Ni 0.7292 0.7292 0.0000  4 Ti 2.45-2.55, 4 Ni 2.55-2.61
Ti 0.3284 0.6405 0.2810  7 Ni 2.45-2.55, 2 Rh 2.56-2.61
Ti 0.3595 0.0473 0.7190  7 Ni 2.45-2.55, 2 Rh 2.56-2.61
Ti 0.8905 0.0784 0.7810  7 Ni 2.45-2.55, 2 Rh 2.56-2.61
Ti 0.9527 0.6405 0.2810  7 Ni 2.45-2.55, 2 Rh 2.56-2.61
Ti 0.9216 0.1095 0.2190  7 Ni 2.45-2.55, 2 Rh 2.56-2.61
Ti 0.8905 0.7027 0.7810  7 Ni 2.45-2.55, 2 Rh 2.56-2.61
Ti 0.2973 0.1095 0.2190  7 Ni 2.45-2.55, 2 Rh 2.56-2.61
Ti 0.3595 0.6716 0.7190  7 Ni 2.45-2.55, 2 Rh 2.56-2.61

VASP calculation (PBE) on an optimized crystal structure of Ti12Ni2Rh5.

Results
- density of states at the Fermi level (states/eV per cell) = 21.20
- total energy (eV/atom) = -7.86
- formation enthalpy at 0 K (eV/atom) = -0.34

Cell: 5.7071 7.6263 7.6243 Å, 80.09 90.00 111.97°
Closest atoms and distances in Å follow each position.
Sites, in units of the cell vectors:
Ni 0.6919 0.0000 0.0000  1 Ni 2.19, 4 Ti 2.36-2.38
Ni 0.3081 0.0000 0.0000  1 Ni 2.19, 4 Ti 2.36-2.38
Ti 0.5956 0.6919 0.5288  3 Rh 2.57-2.69, 4 Ti 2.83-2.87
Ti 0.9086 0.3110 0.0699  1 Ni 2.38, 1 Rh 2.64
Ti 0.0963 0.6919 0.5288  3 Rh 2.57-2.69, 4 Ti 2.83-2.87
Ti 0.0519 0.1038 0.7989  2 Ni 2.36, 2 Rh 2.52-2.54
Ti 0.5976 0.6890 0.9301  1 Ni 2.38, 1 Rh 2.64
Ti 0.4044 0.3081 0.4712  3 Rh 2.57-2.69, 4 Ti 2.83-2.87
Ti 0.5024 0.0049 0.3158  2 Ni 2.65, 1 Rh 2.70, 5 Ti 2.80-2.96
Ti 0.4976 0.9951 0.6842  2 Ni 2.65, 1 Rh 2.70, 5 Ti 2.80-2.96
Ti 0.0914 0.6890 0.9301  1 Ni 2.38, 1 Rh 2.64
Ti 0.4024 0.3110 0.0699  1 Ni 2.38, 1 Rh 2.64
Ti 0.9481 0.8962 0.2011  2 Ni 2.36, 2 Rh 2.52-2.54
Ti 0.9037 0.3081 0.4712  3 Rh 2.57-2.69, 4 Ti 2.83-2.87
Rh 0.3232 0.6464 0.2396  5 Ti 2.69-2.73, 2 Rh 2.97, 2 Ni 3.02
Rh 0.0000 0.0000 0.5000  6 Ti 2.52-2.58
Rh 0.6768 0.3536 0.7604  5 Ti 2.69-2.73, 2 Rh 2.97, 2 Ni 3.02
Rh 0.2342 0.4683 0.7597  7 Ti 2.54-2.80
Rh 0.7658 0.5317 0.2403  7 Ti 2.54-2.80